# 1
First-principles (PBE) data for a geometry-optimized Tb2PmSi2Pt7 structure, as listed in the Alexandria database.

```
Tb2PmSi2Pt7
1.0
2.895 -2.864 0.000
2.895 2.864 0.000
-2.090 0.000 13.693
Tb Pm Si Pt
2 1 2 7
Cartesian
-0.078 0.000 4.906
3.779 0.000 8.788
0.000 0.000 0.000
0.793 0.000 10.146
2.908 0.000 3.547
1.458 1.429 2.269
0.939 0.000 7.826
2.243 1.429 11.424
2.895 0.000 0.000
1.458 -1.429 2.269
2.762 0.000 5.867
2.243 -1.429 11.424
```

* formation energy from raw total energies: -1.079 eV/atom
* DOS(E_F): 5.38 states/eV per cell


# 2
First-principles (PBE) data for a geometry-optimized CoTcS3 structure, as listed in the Alexandria database.

```
CoTcS3
1.0
4.387 0.000 0.000
0.000 4.387 0.000
0.000 0.000 4.387
Co Tc S
1 1 3
Cartesian
0.000 0.000 0.000
2.194 2.194 2.194
0.000 0.000 2.194
0.000 2.194 0.000
2.194 0.000 0.000
```

* formation energy from raw total energies: 0.759 eV/atom
* DOS(E_F): 6.79 states/eV per cell


# 3
First-principles (PBE) data for a geometry-optimized LaErLuSn structure, as listed in the Alexandria database.

```
LaErLuSn
1.0
0.000 3.872 3.872
3.872 0.000 3.872
3.872 3.872 0.000
La Er Lu Sn
1 1 1 1
Cartesian
0.000 0.000 0.000
3.872 3.872 3.872
5.808 5.808 5.808
1.936 1.936 1.936
```

* DOS(E_F): 7.26 states/eV per cell
* formation energy from the elements: -0.246 eV/atom